# SrCoTe (GGA-PBEsol, optimized geometry)
# Raw total energy: -12.82 eV/f.u.
# Energy above the lowest structure with this stoichiometry: 0.677 eV/atom
# Raw formation energy: 0.094 eV per atom
data_SrCoTe
_chemical_formula_sum 'Sr1 Co1 Te1'
_space_group_name_H-M_alt 'P 1'
_space_group_IT_number 1
_cell_length_a 4.833
_cell_length_b 4.833
_cell_length_c 4.833
_cell_angle_alpha 60.00
_cell_angle_beta 60.00
_cell_angle_gamma 60.00
loop_
_space_group_symop_operation_xyz
'x,y,z'
loop_
_atom_site_label
_atom_site_type_symbol
_atom_site_fract_x
_atom_site_fract_y
_atom_site_fract_z
_atom_site_occupancy
Sr1 Sr 0.000 0.000 0.000 1
Co1 Co 0.500 0.500 0.500 1
Te1 Te 0.750 0.750 0.750 1

***

# SrTlCo3 (GGA-PBEsol, optimized geometry)
# ΔE_f: 1.208 eV/atom
# Raw total energy: -21.64 eV/f.u.
data_SrTlCo3
_chemical_formula_sum 'Sr1 Tl1 Co3'
_space_group_name_H-M_alt 'P 1'
_space_group_IT_number 1
_cell_length_a 4.831
_cell_length_b 4.831
_cell_length_c 4.831
_cell_angle_alpha 90.00
_cell_angle_beta 90.00
_cell_angle_gamma 90.00
loop_
_space_group_symop_operation_xyz
'x,y,z'
loop_
_atom_site_label
_atom_site_type_symbol
_atom_site_fract_x
_atom_site_fract_y
_atom_site_fract_z
_atom_site_occupancy
Sr1 Sr 0.000 0.000 0.000 1
Tl1 Tl 0.500 0.500 0.500 1
Co1 Co 0.000 0.500 0.500 1
Co2 Co 0.500 0.000 0.500 1
Co3 Co 0.500 0.500 0.000 1

***

# SrTl2Co (GGA-PBEsol, optimized geometry)
# ΔE_f: 0.084 eV/atom
# Raw total energy: -14.50 eV/f.u.
data_SrTl2Co
_chemical_formula_sum 'Sr1 Tl2 Co1'
_space_group_name_H-M_alt 'P 1'
_space_group_IT_number 1
_cell_length_a 6.300
_cell_length_b 6.300
_cell_length_c 6.300
_cell_angle_alpha 41.79
_cell_angle_beta 41.79
_cell_angle_gamma 41.79
loop_
_space_group_symop_operation_xyz
'x,y,z'
loop_
_atom_site_label
_atom_site_type_symbol
_atom_site_fract_x
_atom_site_fract_y
_atom_site_fract_z
_atom_site_occupancy
Sr1 Sr 0.000 0.000 0.000 1
Tl1 Tl 0.549 0.549 0.549 1
Tl2 Tl 0.789 0.789 0.789 1
Co1 Co 0.181 0.181 0.181 1

***

# SrTlCo2 (GGA-PBEsol, optimized geometry)
# ΔE_f: 0.651 eV/atom
# Raw total energy: -17.34 eV/f.u.
# Energy above the lowest structure with this stoichiometry: 0.113 eV/atom
data_SrTlCo2
_chemical_formula_sum 'Sr1 Tl1 Co2'
_space_group_name_H-M_alt 'P 1'
_space_group_IT_number 1
_cell_length_a 4.516
_cell_length_b 4.516
_cell_length_c 3.448
_cell_angle_alpha 90.00
_cell_angle_beta 90.00
_cell_angle_gamma 90.00
loop_
_space_group_symop_operation_xyz
'x,y,z'
loop_
_atom_site_label
_atom_site_type_symbol
_atom_site_fract_x
_atom_site_fract_y
_atom_site_fract_z
_atom_site_occupancy
Sr1 Sr 0.000 0.000 0.000 1
Tl1 Tl 0.500 0.500 0.000 1
Co1 Co 0.000 0.500 0.500 1
Co2 Co 0.500 0.000 0.500 1

***

# Sr2TlCo (GGA-PBEsol, optimized geometry)
# ΔE_f: 0.337 eV/atom
# Raw total energy: -12.70 eV/f.u.
data_Sr2TlCo
_chemical_formula_sum 'Sr2 Tl1 Co1'
_space_group_name_H-M_alt 'P 1'
_space_group_IT_number 1
_cell_length_a 5.196
_cell_length_b 5.196
_cell_length_c 5.196
_cell_angle_alpha 120.13
_cell_angle_beta 120.13
_cell_angle_gamma 89.78
loop_
_space_group_symop_operation_xyz
'x,y,z'
loop_
_atom_site_label
_atom_site_type_symbol
_atom_site_fract_x
_atom_site_fract_y
_atom_site_fract_z
_atom_site_occupancy
Sr1 Sr 0.000 0.000 0.000 1
Sr2 Sr 0.750 0.250 0.500 1
Tl1 Tl 0.500 0.500 0.000 1
Co1 Co 0.250 0.750 0.500 1

***

# SrTlCo2 (GGA-PBEsol, optimized geometry)
# ΔE_f: 0.538 eV/atom
# Raw total energy: -17.79 eV/f.u.
# Energy above the lowest structure with this stoichiometry: 0.000 eV/atom
data_SrTlCo2
_chemical_formula_sum 'Sr1 Tl1 Co2'
_space_group_name_H-M_alt 'P 1'
_space_group_IT_number 1
_cell_length_a 3.495
_cell_length_b 3.495
_cell_length_c 6.562
_cell_angle_alpha 90.00
_cell_angle_beta 90.00
_cell_angle_gamma 90.00
loop_
_space_group_symop_operation_xyz
'x,y,z'
loop_
_atom_site_label
_atom_site_type_symbol
_atom_site_fract_x
_atom_site_fract_y
_atom_site_fract_z
_atom_site_occupancy
Sr1 Sr 0.000 0.000 0.000 1
Tl1 Tl 0.000 0.000 0.500 1
Co1 Co 0.500 0.500 0.328 1
Co2 Co 0.500 0.500 0.672 1

***

Number 1: volume 79.8 Å³ per cell. Number 2: volume 112.7 Å³ per cell. Number 3: volume 100.3 Å³ per cell. Number 4: volume 70.3 Å³ per cell. Number 5: volume 99.0 Å³ per cell. Number 6: volume 80.1 Å³ per cell.